(1)
First-principles (GGA-PBE) data for a geometry-optimized CaAc2InIr structure, as listed in Alexandria.

The calculation puts the magnetization at 0.00 μB per cell. As for the formation energy: -0.385 eV/atom. The calculated volume is 36.857 A^3/atom.

Lattice parameters (Å, degrees): 5.7677 5.7677 5.5396 90.00 90.00 90.00
With the nearest neighbours (Å) after each atom.
Space group P4/mmm (No. 123)
Symmetry-distinct sites (fractional):
Ca  0.0000  0.0000  0.0000 [1 per cell]  2 Ir 2.77
Ac  0.0000  0.5000  0.5000 [2 per cell]  2 Ir 2.88
In  0.5000  0.5000  0.0000 [1 per cell]  8 Ac 4.00, 4 Ca 4.08
Ir  0.0000  0.0000  0.5000 [1 per cell]  2 Ca 2.77, 4 Ac 2.88



(2)
First-principles (GGA-PBE) data for a geometry-optimized CaAcLa2In4 structure, as listed in Alexandria.

The calculation puts the magnetization at 0.00 μB per cell. As for the formation energy: -0.473 eV/atom. The calculated volume is 31.547 A^3/atom.

Lattice parameters (Å, degrees): 5.6006 5.6006 27.8727 90.00 90.00 120.00
With the nearest neighbours (Å) after each atom.
Space group R-3m (No. 166, hexagonal axes)
Symmetry-distinct sites (fractional):
Ca  0.0000  0.0000  0.0000 [3 per cell]  8 In 3.43
Ac  0.0000  0.0000  0.5000 [3 per cell]  8 In 3.45-3.52
La  0.0000  0.0000  0.2544 [6 per cell]  8 In 3.33-3.66
In  0.0000  0.0000  0.1232 [6 per cell]  1 Ca 3.43, 3 Ac 3.45, 4 La 3.46-3.66
In  0.0000  0.0000  0.3739 [6 per cell]  4 La 3.33-3.41, 3 Ca 3.43, 1 Ac 3.52



(3)
First-principles (GGA-PBE) data for a geometry-optimized Ca2AcLaIn4 structure, as listed in Alexandria.

The calculation puts the magnetization at 0.00 μB per cell. As for the formation energy: -0.469 eV/atom. The calculated volume is 30.975 A^3/atom.

Lattice parameters (Å, degrees): 5.5901 5.5901 27.4701 90.00 90.00 120.00
With the nearest neighbours (Å) after each atom.
Space group R-3m (No. 166, hexagonal axes)
Symmetry-distinct sites (fractional):
Ca  0.0000  0.0000  0.2504 [6 per cell]  8 In 3.38-3.51
Ac  0.0000  0.0000  0.5000 [3 per cell]  8 In 3.45-3.47
La  0.0000  0.0000  0.0000 [3 per cell]  8 In 3.37-3.41
In  0.0000  0.0000  0.1225 [6 per cell]  1 La 3.37, 4 Ca 3.41-3.51, 3 Ac 3.45
In  0.0000  0.0000  0.3735 [6 per cell]  4 Ca 3.38-3.43, 3 La 3.41, 1 Ac 3.47



(4)
First-principles (GGA-PBE) data for a geometry-optimized CaAc2LaIn4 structure, as listed in Alexandria.

The calculation puts the magnetization at 0.00 μB per cell. As for the formation energy: -0.453 eV/atom. The calculated volume is 32.515 A^3/atom.

Lattice parameters (Å, degrees): 5.6611 5.6611 28.1168 90.00 90.00 120.00
With the nearest neighbours (Å) after each atom.
Space group R-3m (No. 166, hexagonal axes)
Symmetry-distinct sites (fractional):
Ca  0.0000  0.0000  0.0000 [3 per cell]  8 In 3.48-3.54
Ac  0.0000  0.0000  0.2538 [6 per cell]  8 In 3.43-3.59
La  0.0000  0.0000  0.5000 [3 per cell]  8 In 3.46-3.49
In  0.0000  0.0000  0.1259 [6 per cell]  3 La 3.46, 4 Ac 3.52-3.59, 1 Ca 3.54
In  0.0000  0.0000  0.3758 [6 per cell]  4 Ac 3.43, 3 Ca 3.48, 1 La 3.49



(5)
First-principles (GGA-PBE) data for a geometry-optimized Li2CaAc2In2 structure, as listed in Alexandria.

The calculation puts the magnetization at 0.00 μB per cell. As for the formation energy: -0.228 eV/atom. The calculated volume is 30.539 A^3/atom.

Lattice parameters (Å, degrees): 5.0510 5.0510 29.0254 90.00 90.00 120.00
With the nearest neighbours (Å) after each atom.
Space group R-3m (No. 166, hexagonal axes)
Symmetry-distinct sites (fractional):
Li  0.0000  0.0000  0.1173 [6 per cell]  3 In 2.96, 3 Ca 3.25
Ca  0.0000  0.0000  0.5000 [3 per cell]  6 Li 3.25, 6 In 3.49
Ac  0.0000  0.0000  0.3745 [6 per cell]  3 In 3.38, 1 Ca 3.64, 3 Li 3.66, 3 Ac 3.77
In  0.0000  0.0000  0.2330 [6 per cell]  3 Li 2.96



(6)
First-principles (GGA-PBE) data for a geometry-optimized LiCa2AcIn2 structure, as listed in Alexandria.

The calculation puts the magnetization at 0.00 μB per cell. As for the formation energy: 0.058 eV/atom. The calculated volume is 35.465 A^3/atom.

Lattice parameters (Å, degrees): 4.8473 4.8473 18.1130 90.00 90.00 90.00
With the nearest neighbours (Å) after each atom.
Space group I4/mmm (No. 139)
Symmetry-distinct sites (fractional):
Li  0.0000  0.0000  0.0000 [2 per cell]  2 In 2.42
Ca  0.0000  0.5000  0.2500 [4 per cell]  4 In 3.21, 4 Ca 3.43
Ac  0.0000  0.0000  0.5000 [2 per cell]  4 Li 3.43
In  0.0000  0.0000  0.1335 [4 per cell]  1 Li 2.42



Please write out number 4 again, unchanged.
First-principles (GGA-PBE) data for a geometry-optimized CaAc2LaIn4 structure, as listed in Alexandria.

The calculation puts the magnetization at 0.00 μB per cell. As for the formation energy: -0.453 eV/atom. The calculated volume is 32.515 A^3/atom.

Lattice parameters (Å, degrees): 5.6611 5.6611 28.1168 90.00 90.00 120.00
With the nearest neighbours (Å) after each atom.
Space group R-3m (No. 166, hexagonal axes)
Symmetry-distinct sites (fractional):
Ca  0.0000  0.0000  0.0000 [3 per cell]  8 In 3.48-3.54
Ac  0.0000  0.0000  0.2538 [6 per cell]  8 In 3.43-3.59
La  0.0000  0.0000  0.5000 [3 per cell]  8 In 3.46-3.49
In  0.0000  0.0000  0.1259 [6 per cell]  3 La 3.46, 4 Ac 3.52-3.59, 1 Ca 3.54
In  0.0000  0.0000  0.3758 [6 per cell]  4 Ac 3.43, 3 Ca 3.48, 1 La 3.49



Question: Number 2 is which compound?
Answer: CaAcLa2In4



Please write out number 2 again, unchanged.
First-principles (GGA-PBE) data for a geometry-optimized CaAcLa2In4 structure, as listed in Alexandria.

The calculation puts the magnetization at 0.00 μB per cell. As for the formation energy: -0.473 eV/atom. The calculated volume is 31.547 A^3/atom.

Lattice parameters (Å, degrees): 5.6006 5.6006 27.8727 90.00 90.00 120.00
With the nearest neighbours (Å) after each atom.
Space group R-3m (No. 166, hexagonal axes)
Symmetry-distinct sites (fractional):
Ca  0.0000  0.0000  0.0000 [3 per cell]  8 In 3.43
Ac  0.0000  0.0000  0.5000 [3 per cell]  8 In 3.45-3.52
La  0.0000  0.0000  0.2544 [6 per cell]  8 In 3.33-3.66
In  0.0000  0.0000  0.1232 [6 per cell]  1 Ca 3.43, 3 Ac 3.45, 4 La 3.46-3.66
In  0.0000  0.0000  0.3739 [6 per cell]  4 La 3.33-3.41, 3 Ca 3.43, 1 Ac 3.52



Question: What is the formula in the second record?
Answer: CaAcLa2In4